# ErTm2Lu

A relaxed structure of ErTm2Lu (PBE, OQMD).

Cell: 5.5007 7.0762 12.2568 Å, 90.00 90.00 90.00°
Last column: nearest neighbours and their distance in Å.
Space group Amm2 (No. 38)
Symmetry-distinct sites (fractional):
Er: 0.0000 0.0000 0.0000 x2  4 Lu 3.43, 8 Tm 3.43-3.54
Er: 0.5000 0.0000 0.3331 x2  8 Tm 3.43-3.54, 4 Lu 3.54
Tm: 0.0000 0.0000 0.5002 x2  4 Lu 3.42, 4 Er 3.43-3.54, 4 Tm 3.53-3.54
Tm: 0.0000 0.2503 0.2498 x4  2 Lu 3.42, 6 Tm 3.42-3.54, 4 Er 3.43-3.54
Tm: 0.5000 0.0000 0.8329 x2  4 Tm 3.42, 4 Er 3.43-3.54, 4 Lu 3.53-3.55
Lu: 0.5000 0.2504 0.0836 x4  6 Tm 3.42-3.55, 4 Er 3.43-3.54, 2 Lu 3.53-3.54

energy relative to the elements: 0.000 eV/atom

# Li4DyNbO6

A relaxed structure of Li4DyNbO6 (PBE, OQMD).

Cell: 5.4309 9.4217 5.2139 Å, 90.00 110.09 90.00°
Last column: nearest neighbours and their distance in Å.
Space group C2 (No. 5)
Symmetry-distinct sites (fractional):
Li: 0.0000 0.0000 0.0000 x2  2 O 2.04
Li: 0.0000 0.1450 0.5000 x2  6 O 2.18-2.23
Li: 0.0000 0.3064 0.0000 x2  6 O 2.14-2.29
Li: 0.0000 0.6259 0.0000 x2  4 O 2.04-2.14
Dy: 0.0000 0.8120 0.5000 x2  6 O 2.22-2.24
Nb: 0.0000 0.4778 0.5000 x2  6 O 2.00-2.06
O: 0.2282 0.3279 0.7388 x4  1 Nb 2.00, 2 Li 2.14-2.23, 1 Dy 2.24
O: 0.2305 0.4819 0.2680 x4  1 Nb 2.02, 3 Li 2.04-2.25, 1 Dy 2.23
O: 0.2324 0.6332 0.7419 x4  3 Li 2.04-2.23, 1 Nb 2.06, 1 Dy 2.22

DFT total energy: -6.845 eV/atom

Please write out number 2 again, unchanged.
# Li4DyNbO6

A relaxed structure of Li4DyNbO6 (PBE, OQMD).

Cell: 5.4309 9.4217 5.2139 Å, 90.00 110.09 90.00°
Last column: nearest neighbours and their distance in Å.
Space group C2 (No. 5)
Symmetry-distinct sites (fractional):
Li: 0.0000 0.0000 0.0000 x2  2 O 2.04
Li: 0.0000 0.1450 0.5000 x2  6 O 2.18-2.23
Li: 0.0000 0.3064 0.0000 x2  6 O 2.14-2.29
Li: 0.0000 0.6259 0.0000 x2  4 O 2.04-2.14
Dy: 0.0000 0.8120 0.5000 x2  6 O 2.22-2.24
Nb: 0.0000 0.4778 0.5000 x2  6 O 2.00-2.06
O: 0.2282 0.3279 0.7388 x4  1 Nb 2.00, 2 Li 2.14-2.23, 1 Dy 2.24
O: 0.2305 0.4819 0.2680 x4  1 Nb 2.02, 3 Li 2.04-2.25, 1 Dy 2.23
O: 0.2324 0.6332 0.7419 x4  3 Li 2.04-2.23, 1 Nb 2.06, 1 Dy 2.22

DFT total energy: -6.845 eV/atom